(1)
The following is a PBE calculation of FePbW2 after structural relaxation, from Alexandria.

Its energy of formation from the pure elements is 2.9 eV per formula unit. As for the uncorrected energy: -8.800 eV per atom.

It has space group P2/m (No. 10), with a = 2.9561 Å, b = 2.9747 Å, c = 8.0531 Å, α = 90.00°, β = 99.05° and γ = 90.00°. Symmetry generates all atoms from Fe at (0.0000, 0.0000, 0.0000), Pb at (0.0000, 0.0000, 0.5000) and W at (0.4123, 0.5000, 0.8074).

(2)
The following is a PBE calculation of FePb2W after structural relaxation, from Alexandria.

Its energy of formation from the pure elements is 4.3 eV per formula unit. As for the uncorrected energy: -6.137 eV per atom.

It has space group Immm (No. 71), with a = 3.6465 Å, b = 5.0141 Å, c = 8.7931 Å, α = 90.00°, β = 90.00° and γ = 90.00°. Symmetry generates all atoms from Fe at (0.0000, 0.0000, 0.0000), Pb at (0.0000, 0.5000, 0.2623) and W at (0.0000, 0.0000, 0.5000).

(3)
The following is a PBE calculation of FePb2W after structural relaxation, from Alexandria.

Its energy of formation from the pure elements is 4.3 eV per formula unit. As for the uncorrected energy: -6.137 eV per atom.

It has space group I-4m2 (No. 119), with a = 4.1428 Å, b = 4.1428 Å, c = 9.3097 Å, α = 90.00°, β = 90.00° and γ = 90.00°. Symmetry generates all atoms from Fe at (0.0000, 0.0000, 0.0000), Pb at (0.0000, 0.0000, 0.5000), Pb at (0.0000, 0.5000, 0.7500) and W at (0.0000, 0.5000, 0.2500).

(4)
The following is a PBE calculation of FePbW2 after structural relaxation, from Alexandria.

Its energy of formation from the pure elements is 3.2 eV per formula unit. As for the uncorrected energy: -8.720 eV per atom.

It has space group P4/mmm (No. 123), with a = 3.9015 Å, b = 3.9015 Å, c = 4.3930 Å, α = 90.00°, β = 90.00° and γ = 90.00°. Symmetry generates all atoms from Fe at (0.0000, 0.0000, 0.0000), Pb at (0.5000, 0.5000, 0.0000) and W at (0.0000, 0.5000, 0.5000).

(5)
The following is a PBE calculation of FePb2W after structural relaxation, from Alexandria.

Its energy of formation from the pure elements is 1.7 eV per formula unit. As for the uncorrected energy: -6.776 eV per atom.

It has space group Pm (No. 6), with a = 3.1171 Å, b = 3.1171 Å, c = 9.1788 Å, α = 90.00°, β = 90.05° and γ = 90.00°. Symmetry generates all atoms from Fe at (0.0000, 0.0000, 0.0000), Pb at (0.5002, 0.5000, 0.2263), Pb at (0.9987, 0.0000, 0.6180) and W at (0.4993, 0.5000, 0.8690).

(6)
The following is a PBE calculation of FePb2W after structural relaxation, from Alexandria.

Its energy of formation from the pure elements is 4.2 eV per formula unit. As for the uncorrected energy: -6.163 eV per atom.

It has space group C2/m (No. 12), with a = 9.5142 Å, b = 3.0315 Å, c = 5.7934 Å, α = 90.00°, β = 104.12° and γ = 90.00°. Symmetry generates all atoms from Fe at (0.0000, 0.0000, 0.0000), Pb at (0.2421, 0.5000, 0.2467) and W at (0.0000, 0.5000, 0.5000).

(7)
The following is a PBE calculation of FePbW2 after structural relaxation, from Alexandria.

Its energy of formation from the pure elements is 2.4 eV per formula unit. As for the uncorrected energy: -8.913 eV per atom.

It has space group P4mm (No. 99), with a = 3.3231 Å, b = 3.3231 Å, c = 6.3746 Å, α = 90.00°, β = 90.00° and γ = 90.00°. Symmetry generates all atoms from Fe at (0.0000, 0.0000, 0.0000), Pb at (0.5000, 0.5000, 0.2757), W at (0.0000, 0.0000, 0.5892) and W at (0.5000, 0.5000, 0.7975).

(8)
The following is a PBE calculation of FePbW2 after structural relaxation, from Alexandria.

Its energy of formation from the pure elements is 3.4 eV per formula unit. As for the uncorrected energy: -8.675 eV per atom.

It has space group F-43m (No. 216), with a = 6.4568 Å, b = 6.4568 Å, c = 6.4568 Å, α = 90.00°, β = 90.00° and γ = 90.00°. Symmetry generates all atoms from Fe at (0.0000, 0.0000, 0.0000), Pb at (0.2500, 0.2500, 0.7500), W at (0.0000, 0.0000, 0.5000) and W at (0.2500, 0.2500, 0.2500).